# 1
A relaxed Rh3PbN crystal, computed with GGA-PBEsol.

Computed properties:
energy relative to the elements, uncorrected: 2825 meV/atom
symmetry: Pm-3m
total magnetization: 0.890 μB per atom
volume: 122.5 Å³ per cell

Cell: 4.9665 4.9665 4.9665 Å, 90.00 90.00 90.00°
Closest atoms and distances in Å follow each position.
Atoms (fractional coordinates):
Pb 0.0000 0.0000 0.0000  6 Rh 2.48
Rh 0.0000 0.5000 0.0000  2 Pb 2.48
Rh 0.0000 0.0000 0.5000  2 Pb 2.48
Rh 0.5000 0.0000 0.0000  2 Pb 2.48
N 0.5000 0.5000 0.5000  12 Rh 3.51

# 2
A relaxed RhPbS2N crystal, computed with GGA-PBEsol.

Computed properties:
energy relative to the elements, uncorrected: 102 meV/atom
symmetry: P4/mmm
total magnetization: 0.000 μB per atom
volume: 87.8 Å³ per cell

Cell: 3.6455 4.9072 4.9072 Å, 90.00 90.00 90.00°
Closest atoms and distances in Å follow each position.
Atoms (fractional coordinates):
Pb 0.5000 0.5000 0.5000  8 S 3.06
S 0.0000 0.0000 0.5000  2 Rh 2.45
S 0.0000 0.5000 0.0000  2 Rh 2.45
Rh 0.0000 0.0000 0.0000  2 N 1.82
N 0.5000 0.0000 0.0000  2 Rh 1.82

# 3
A relaxed RhPbSe2N crystal, computed with GGA-PBEsol.

Computed properties:
energy relative to the elements, uncorrected: 92 meV/atom
symmetry: P4/mmm
total magnetization: 0.000 μB per atom
volume: 97.8 Å³ per cell

Cell: 3.6387 5.1844 5.1844 Å, 90.00 90.00 90.00°
Closest atoms and distances in Å follow each position.
Atoms (fractional coordinates):
Pb 0.5000 0.5000 0.5000  8 Se 3.17
Rh 0.0000 0.0000 0.0000  2 N 1.82
Se 0.0000 0.0000 0.5000  2 Rh 2.59
Se 0.0000 0.5000 0.0000  2 Rh 2.59
N 0.5000 0.0000 0.0000  2 Rh 1.82